# 1
{"formula": "Ca3Ni2Sn3", "functional": "PBE", "state": "optimized geometry", "n_ef_per_ev_cell": 10.648, "formation_energy_kj_per_mol_fu": -411, "total_energy_ev_per_cell": -67.68, "lattice": [[2.260, -5.514, 0.000], [2.260, 5.514, 0.000], [0.000, 0.000, 15.219]], "species": ["Ca", "Ca", "Ca", "Ca", "Ca", "Ca", "Ni", "Ni", "Ni", "Ni", "Sn", "Sn", "Sn", "Sn", "Sn", "Sn"], "fractional_positions": [[0.074, 0.926, 0.611], [0.074, 0.926, 0.889], [0.364, 0.636, 0.750], [0.636, 0.364, 0.250], [0.926, 0.074, 0.111], [0.926, 0.074, 0.389], [0.213, 0.787, 0.102], [0.213, 0.787, 0.398], [0.787, 0.213, 0.602], [0.787, 0.213, 0.898], [0.336, 0.664, 0.250], [0.361, 0.639, 0.538], [0.361, 0.639, 0.962], [0.639, 0.361, 0.038], [0.639, 0.361, 0.462], [0.664, 0.336, 0.750]]}



# 2
{"formula": "Pr8Si3PtI4", "functional": "PBE", "state": "optimized geometry", "raw_formation_energy_ev_per_atom": -0.97, "n_ef_per_ev_cell": 11.439, "total_energy_ev_per_cell": -82.33, "lattice": [[7.567, -4.368, 0.000], [7.567, 4.368, 0.000], [-5.046, 0.000, 7.756]], "species": ["Pr", "Pr", "Pr", "Pr", "Pr", "Pr", "Pr", "Pr", "Si", "Si", "Si", "Pt", "I", "I", "I", "I"], "fractional_positions": [[0.231, 0.736, 0.697], [0.232, 0.232, 0.698], [0.264, 0.769, 0.303], [0.266, 0.266, 0.300], [0.734, 0.734, 0.700], [0.736, 0.231, 0.697], [0.768, 0.768, 0.302], [0.769, 0.264, 0.303], [0.000, 0.500, 0.500], [0.500, 0.000, 0.500], [0.500, 0.500, 0.500], [0.000, 0.000, 0.500], [0.000, 0.000, 0.000], [0.000, 0.500, 0.000], [0.500, 0.000, 0.000], [0.500, 0.500, 0.000]]}



# 3
{"formula": "La12Tb7Tm", "functional": "PBE", "state": "optimized geometry", "relative_energy_ev_per_fu": 0.00, "n_ef_per_ev_cell": 27.127, "formation_energy_kj_per_mol_fu": 352, "total_energy_ev_per_cell": -92.37, "lattice": [[9.814, 5.666, 2.127], [-9.814, 5.666, 2.127], [0.000, -11.333, 2.127]], "species": ["La", "La", "La", "La", "La", "La", "La", "La", "La", "La", "La", "La", "Tb", "Tb", "Tb", "Tb", "Tb", "Tb", "Tb", "Tm"], "fractional_positions": [[0.000, 0.408, 0.592], [0.000, 0.592, 0.408], [0.071, 0.426, 0.072], [0.072, 0.071, 0.426], [0.408, 0.000, 0.592], [0.408, 0.592, 0.000], [0.426, 0.072, 0.071], [0.574, 0.928, 0.929], [0.592, 0.000, 0.408], [0.592, 0.408, 0.000], [0.928, 0.929, 0.574], [0.929, 0.574, 0.928], [0.000, 0.000, 0.000], [0.139, 0.386, 0.387], [0.386, 0.387, 0.139], [0.387, 0.139, 0.386], [0.613, 0.861, 0.614], [0.614, 0.613, 0.861], [0.861, 0.614, 0.613], [0.500, 0.500, 0.500]]}



# 4
{"formula": "Ca2InTe", "functional": "PBE", "state": "optimized geometry", "raw_formation_energy_ev_per_atom": -0.70, "relative_energy_ev_per_fu": 0.58, "n_ef_per_ev_cell": 2.136, "total_energy_ev_per_cell": -12.70, "lattice": [[-2.551, 2.566, 4.505], [2.551, -2.566, 4.505], [2.551, 2.566, -4.505]], "species": ["Ca", "Ca", "In", "Te"], "fractional_positions": [[0.250, 0.250, 0.000], [0.750, 0.750, 0.000], [0.500, 0.000, 0.500], [0.000, 0.500, 0.500]]}



# 5
{"formula": "CuSe2Cl", "functional": "PBE", "state": "optimized geometry", "raw_formation_energy_ev_per_atom": 0.18, "relative_energy_ev_per_fu": 1.88, "n_ef_per_ev_cell": 0.082, "total_energy_ev_per_cell": -24.40, "lattice": [[-2.139, 2.139, 9.745], [2.139, -2.139, 9.745], [2.139, 2.139, -9.745]], "species": ["Cu", "Cu", "Se", "Se", "Se", "Se", "Cl", "Cl"], "fractional_positions": [[0.000, 0.000, 0.000], [0.750, 0.250, 0.500], [0.011, 0.625, 0.886], [0.375, 0.261, 0.386], [0.739, 0.125, 0.114], [0.875, 0.989, 0.614], [0.250, 0.750, 0.500], [0.500, 0.500, 0.000]]}



# 6
{"formula": "InPPb2W", "functional": "PBE", "state": "optimized geometry", "n_ef_per_ev_cell": 2.568, "formation_energy_kj_per_mol_fu": 508, "total_energy_ev_per_cell": -23.26, "lattice": [[5.406, 0.000, 0.000], [0.000, 5.406, 0.000], [0.000, 0.000, 5.359]], "species": ["In", "P", "Pb", "Pb", "W"], "fractional_positions": [[0.000, 0.000, 0.000], [0.500, 0.500, 0.000], [0.000, 0.500, 0.500], [0.500, 0.000, 0.500], [0.000, 0.000, 0.500]]}



# 7
{"formula": "YHoI6", "functional": "PBE", "state": "optimized geometry", "raw_formation_energy_ev_per_atom": -1.35, "relative_energy_ev_per_fu": 0.00, "n_ef_per_ev_cell": 0.000, "total_energy_ev_per_cell": -31.15, "lattice": [[3.726, -7.415, 0.000], [3.726, 7.415, 0.000], [-2.363, 0.000, 7.063]], "species": ["Y", "Ho", "I", "I", "I", "I", "I", "I"], "fractional_positions": [[0.000, 0.000, 0.000], [0.500, 0.500, 0.500], [0.108, 0.394, 0.252], [0.251, 0.251, 0.750], [0.394, 0.108, 0.252], [0.606, 0.892, 0.748], [0.749, 0.749, 0.250], [0.892, 0.606, 0.748]]}



# 8
{"formula": "NdEuSc2", "functional": "PBE", "state": "optimized geometry", "relative_energy_ev_per_fu": 0.01, "n_ef_per_ev_cell": 5.195, "formation_energy_kj_per_mol_fu": 51, "total_energy_ev_per_cell": -27.18, "lattice": [[1.748, 1.009, 11.275], [-1.748, 1.009, 11.275], [0.000, -2.019, 11.275]], "species": ["Nd", "Eu", "Sc", "Sc"], "fractional_positions": [[0.000, 0.000, 0.000], [0.500, 0.500, 0.500], [0.252, 0.252, 0.252], [0.748, 0.748, 0.748]]}



Across the entries above, M_tot takes the values 0.000 0.000 0.000 0.000 0.000 0.678 0.000 1.873 μB per atom, respectively.